The following is a DFT calculation (PBEsol) of crystalline Zn2CuBr at its relaxed geometry. Values from VASP.

ΔE_f (raw) (eV per atom): 0.21
DFT total energy (eV/atom): -2.1275
M_tot (μB/f.u.): 0.0
Crystal system: orthorhombic
Theoretical density (g/cm3): 6.44

```
&SYSTEM
  ibrav = 0, nat = 4, ntyp = 3
/
ATOMIC_SPECIES
Br 79.90 Br.upf
Zn 65.41 Zn.upf
Cu 63.55 Cu.upf
ATOMIC_POSITIONS crystal
Br 0.0000 0.0000 0.4852
Zn 0.0000 0.0000 0.0108
Zn 0.5000 0.5000 0.7652
Cu 0.5000 0.5000 0.2388
CELL_PARAMETERS angstrom
3.2277 0.0211 0.0000
-1.4599 2.8788 0.0000
0.0000 0.0000 7.5899
```



The following is a DFT calculation (PBEsol) of crystalline MoRh8 at its relaxed geometry. Values from VASP.

DFT total energy (eV/atom): -8.6746
Formation energy from the elements (kJ per mole of atoms): -12.8
M_tot (μB/f.u.): 0.0
Crystal system: tetragonal
Theoretical density (g/cm3): 12.46

```
&SYSTEM
  ibrav = 0, nat = 9, ntyp = 2
/
ATOMIC_SPECIES
Rh 102.91 Rh.upf
Mo 95.94 Mo.upf
ATOMIC_POSITIONS crystal
Rh 0.6634 0.6732 0.0000
Rh 0.0000 0.6685 0.3315
Rh 0.3315 0.6685 0.6685
Mo 0.0000 0.0000 0.0000
Rh 0.6685 0.3315 0.3315
Rh 0.3366 0.3268 0.0000
Rh 0.3366 0.0000 0.3268
Rh 0.6634 0.0000 0.6732
Rh 0.0000 0.3315 0.6685
CELL_PARAMETERS angstrom
3.7912 0.0000 0.0000
1.8956 5.6840 0.0000
1.8956 0.0000 5.6840
```



The following is a DFT calculation (PBEsol) of crystalline P4Ru at its relaxed geometry. Values from VASP.

DFT total energy (eV/atom): -7.1635
Formation energy from the elements (kJ per mole of atoms): -47.8
M_tot (μB/f.u.): 0.0
Crystal system: triclinic
Theoretical density (g/cm3): 4.89

```
&SYSTEM
  ibrav = 0, nat = 15, ntyp = 2
/
ATOMIC_SPECIES
P 30.97 P.upf
Ru 101.07 Ru.upf
ATOMIC_POSITIONS crystal
P 0.4010 0.6318 0.1003
Ru 0.9410 0.3732 0.6719
P 0.3909 0.1674 0.2304
Ru 0.0590 0.6268 0.3281
Ru 0.0000 0.0000 0.0000
P 0.1747 0.1620 0.7857
P 0.8253 0.8380 0.2143
P 0.3397 0.9131 0.5619
P 0.6091 0.8326 0.7696
P 0.6603 0.0869 0.4381
P 0.7971 0.2964 0.1251
P 0.2711 0.4272 0.4521
P 0.2029 0.7036 0.8749
P 0.5990 0.3682 0.8997
P 0.7289 0.5728 0.5479
CELL_PARAMETERS angstrom
4.6925 0.0020 0.0006
-1.2883 7.0063 -0.0019
-0.0487 -2.7666 6.9712
```



The following is a DFT calculation (PBEsol) of crystalline YAlSb2 at its relaxed geometry. Values from VASP.

ΔE_f (raw) (eV per atom): -0.21
DFT total energy (eV/atom): -5.2144
M_tot (μB/f.u.): 0.0
Crystal system: orthorhombic
Theoretical density (g/cm3): 5.96

```
&SYSTEM
  ibrav = 0, nat = 4, ntyp = 3
/
ATOMIC_SPECIES
Sb 121.76 Sb.upf
Y 88.91 Y.upf
Al 26.98 Al.upf
ATOMIC_POSITIONS crystal
Sb 0.5000 0.5000 0.7236
Y 0.0000 0.0000 0.4747
Al 0.5000 0.5000 0.2454
Sb 0.0000 0.0000 0.0563
CELL_PARAMETERS angstrom
3.3258 0.0237 0.0000
-0.0914 3.3246 0.0000
0.0000 0.0000 9.0606
```



The following is a DFT calculation (PBEsol) of crystalline BaSr at its relaxed geometry. Values from VASP.

DFT total energy (eV/atom): -1.9042
Formation energy from the elements (kJ per mole of atoms): 8.7
M_tot (μB/f.u.): 0.0
Crystal system: cubic
Theoretical density (g/cm3): 3.28

```
&SYSTEM
  ibrav = 0, nat = 8, ntyp = 2
/
ATOMIC_SPECIES
Ba 137.33 Ba.upf
Sr 87.62 Sr.upf
ATOMIC_POSITIONS crystal
Ba 0.0969 0.5969 0.9031
Sr 0.0987 0.0987 0.0987
Ba 0.5969 0.9031 0.0969
Ba 0.4031 0.4031 0.4031
Sr 0.5987 0.4013 0.9013
Ba 0.9031 0.0969 0.5969
Sr 0.9013 0.5987 0.4013
Sr 0.4013 0.9013 0.5987
CELL_PARAMETERS angstrom
-0.8361 5.0505 -5.7433
-7.5800 -1.3163 -0.0541
-1.0182 5.6526 5.1189
```



The following is a DFT calculation (PBEsol) of crystalline Li3AuF at its relaxed geometry. Values from VASP.

ΔE_f (raw) (eV per atom): -1.32
DFT total energy (eV/atom): -3.6668
M_tot (μB/f.u.): 0.0
Crystal system: cubic
Theoretical density (g/cm3): 6.26

```
&SYSTEM
  ibrav = 0, nat = 5, ntyp = 3
/
ATOMIC_SPECIES
Li 6.94 Li.upf
Au 196.97 Au.upf
F 19.00 F.upf
ATOMIC_POSITIONS crystal
Li 0.0000 0.5000 0.0000
Au 0.5000 0.5000 0.5000
F 0.0000 0.0000 0.0000
Li 0.5000 0.0000 0.0000
Li 0.0000 0.0000 0.5000
CELL_PARAMETERS angstrom
3.9756 0.0000 0.0000
0.0000 3.9756 0.0000
0.0000 0.0000 3.9756
```



The following is a DFT calculation (PBEsol) of crystalline ZnNiOs2 at its relaxed geometry. Values from VASP.

DFT total energy (eV/atom): -7.6897
Formation energy from the elements (kJ per mole of atoms): 34.1
M_tot (μB/f.u.): 0.0
Crystal system: orthorhombic
Theoretical density (g/cm3): 15.78

```
&SYSTEM
  ibrav = 0, nat = 4, ntyp = 3
/
ATOMIC_SPECIES
Os 190.23 Os.upf
Ni 58.69 Ni.upf
Zn 65.41 Zn.upf
ATOMIC_POSITIONS crystal
Os 0.5000 0.0000 0.5000
Os 0.0000 0.0000 0.0000
Ni 0.0000 0.5000 0.5000
Zn 0.5000 0.5000 0.0000
CELL_PARAMETERS angstrom
-0.5588 2.5667 0.7492
-3.9013 -1.2950 1.5266
1.8097 -0.7662 3.9749
```



The following is a DFT calculation (PBEsol) of crystalline TaMnSb2 at its relaxed geometry. Values from VASP.

ΔE_f (raw) (eV per atom): 0.56
DFT total energy (eV/atom): -7.2978
M_tot (μB/f.u.): 2.0
Crystal system: cubic
Theoretical density (g/cm3): 10.37

```
&SYSTEM
  ibrav = 0, nat = 4, ntyp = 3
/
ATOMIC_SPECIES
Sb 121.76 Sb.upf
Mn 54.94 Mn.upf
Ta 180.95 Ta.upf
ATOMIC_POSITIONS crystal
Sb 0.0000 0.0000 0.0000
Mn 0.5000 0.5000 0.5000
Ta 0.2500 0.2500 0.2500
Sb 0.7500 0.7500 0.7500
CELL_PARAMETERS angstrom
4.7700 0.0000 0.0000
2.3850 4.1309 0.0000
2.3850 1.3770 3.8947
```



The following is a DFT calculation (PBEsol) of crystalline As2PbAu at its relaxed geometry. Values from VASP.

DFT total energy (eV/atom): -4.2455
Formation energy from the elements (kJ per mole of atoms): 27.8
M_tot (μB/f.u.): 0.0
Crystal system: cubic
Theoretical density (g/cm3): 11.02

```
&SYSTEM
  ibrav = 0, nat = 4, ntyp = 3
/
ATOMIC_SPECIES
As 74.92 As.upf
Pb 207.20 Pb.upf
Au 196.97 Au.upf
ATOMIC_POSITIONS crystal
As 0.0000 0.0000 0.0000
As 0.7500 0.7500 0.7500
Pb 0.2500 0.2500 0.2500
Au 0.5000 0.5000 0.5000
CELL_PARAMETERS angstrom
-0.8892 0.3542 4.8121
0.9079 -3.8140 2.9497
3.7338 0.1903 3.1772
```



The following is a DFT calculation (PBEsol) of crystalline Co9Se8 at its relaxed geometry. Values from VASP.

ΔE_f (raw) (eV per atom): -0.33
DFT total energy (eV/atom): -6.2367
M_tot (μB/f.u.): 0.0
Crystal system: cubic
Theoretical density (g/cm3): 7.38

```
&SYSTEM
  ibrav = 0, nat = 17, ntyp = 2
/
ATOMIC_SPECIES
Se 78.96 Se.upf
Co 58.93 Co.upf
ATOMIC_POSITIONS crystal
Se 0.2649 0.2649 0.7351
Se 0.7351 0.7351 0.2649
Co 0.8766 0.3701 0.8766
Co 0.5000 0.5000 0.5000
Co 0.6299 0.1234 0.1234
Se 0.7351 0.2649 0.2649
Se 0.2649 0.7351 0.7351
Co 0.1234 0.1234 0.1234
Se 0.7500 0.7500 0.7500
Se 0.7351 0.2649 0.7351
Co 0.1234 0.6299 0.1234
Co 0.8766 0.8766 0.8766
Co 0.3701 0.8766 0.8766
Co 0.8766 0.8766 0.3701
Co 0.1234 0.1234 0.6299
Se 0.2500 0.2500 0.2500
Se 0.2649 0.7351 0.2649
CELL_PARAMETERS angstrom
7.1786 0.0000 0.0000
3.5893 6.2168 0.0000
3.5893 2.0723 5.8613
```



The following is a DFT calculation (PBEsol) of crystalline PbAu at its relaxed geometry. Values from VASP.

DFT total energy (eV/atom): -3.9684
Formation energy from the elements (kJ per mole of atoms): -0.7
M_tot (μB/f.u.): 0.0
Crystal system: tetragonal
Theoretical density (g/cm3): 14.47

```
&SYSTEM
  ibrav = 0, nat = 4, ntyp = 2
/
ATOMIC_SPECIES
Pb 207.20 Pb.upf
Au 196.97 Au.upf
ATOMIC_POSITIONS crystal
Pb 0.5000 0.0000 0.6768
Au 0.0000 0.5000 0.9070
Au 0.5000 0.0000 0.0930
Pb 0.0000 0.5000 0.3232
CELL_PARAMETERS angstrom
-1.8940 2.2617 1.7992
-2.1799 -2.5303 0.8861
4.2664 -1.4600 6.3268
```



The following is a DFT calculation (PBEsol) of crystalline CoPRh2 at its relaxed geometry. Values from VASP.

DFT total energy (eV/atom): -7.5882
Formation energy from the elements (kJ per mole of atoms): -13.2
M_tot (μB/f.u.): 0.7
Crystal system: orthorhombic
Theoretical density (g/cm3): 10.16

```
&SYSTEM
  ibrav = 0, nat = 4, ntyp = 3
/
ATOMIC_SPECIES
Co 58.93 Co.upf
Rh 102.91 Rh.upf
P 30.97 P.upf
ATOMIC_POSITIONS crystal
Co 0.5000 0.0000 0.0000
Rh 0.0000 0.0000 0.5000
Rh 0.0000 0.5000 0.0000
P 0.5000 0.5000 0.5000
CELL_PARAMETERS angstrom
2.7430 0.0000 0.0000
0.0000 4.2588 0.0112
0.0000 -1.0211 4.1346
```



The following is a DFT calculation (PBEsol) of crystalline Nb3SbRh at its relaxed geometry. Values from VASP.

ΔE_f (raw) (eV per atom): 0.84
DFT total energy (eV/atom): -8.1959
M_tot (μB/f.u.): 0.0
Crystal system: cubic
Theoretical density (g/cm3): 7.66

```
&SYSTEM
  ibrav = 0, nat = 5, ntyp = 3
/
ATOMIC_SPECIES
Nb 92.91 Nb.upf
Sb 121.76 Sb.upf
Rh 102.91 Rh.upf
ATOMIC_POSITIONS crystal
Nb 0.0000 0.0000 0.5000
Nb 0.0000 0.5000 0.0000
Nb 0.5000 0.0000 0.0000
Sb 0.5000 0.5000 0.5000
Rh 0.0000 0.0000 0.0000
CELL_PARAMETERS angstrom
4.7790 0.0000 0.0000
0.0000 4.7790 0.0000
0.0000 0.0000 4.7790
```



The following is a DFT calculation (PBEsol) of crystalline NaGdSe2 at its relaxed geometry. Values from VASP.

ΔE_f (raw) (eV per atom): -1.70
DFT total energy (eV/atom): -7.5870
M_tot (μB/f.u.): 7.0
Crystal system: trigonal
Theoretical density (g/cm3): 5.53

```
&SYSTEM
  ibrav = 0, nat = 4, ntyp = 3
/
ATOMIC_SPECIES
Se 78.96 Se.upf
Na 22.99 Na.upf
Gd 157.25 Gd.upf
ATOMIC_POSITIONS crystal
Se 0.7441 0.7441 0.7678
Se 0.2559 0.2559 0.2322
Na 0.5000 0.5000 0.5000
Gd 0.0000 0.0000 0.0000
CELL_PARAMETERS angstrom
4.1308 0.0000 0.0000
2.0654 3.5774 0.0000
2.0654 1.1925 6.8726
```